Record 1
Below is crystalline Y4InAgO at its relaxed geometry, with properties calculated at the PBE level.

energy = -6.219 eV per atom
formation energy without anion corrections = -1.0188 eV/atom
Fermi-level density of states = 11.74 states/eV per cell

Cell and atoms, written as CIF:
```
data_Y4InAgO
_chemical_formula_sum 'Y16 In4 Ag4 O4'
_symmetry_space_group_name_H-M 'C m c m'
_symmetry_Int_Tables_number 63
_symmetry_space_group_name_Hall '-C 2c 2'
_cell_length_a 6.684
_cell_length_b 15.406
_cell_length_c 6.685
_cell_angle_alpha 90.00
_cell_angle_beta 90.00
_cell_angle_gamma 90.00
loop_
_atom_site_label
_atom_site_fract_x
_atom_site_fract_y
_atom_site_fract_z
Y1 0.000 0.066 0.250
Y2 0.000 0.419 0.250
Y3 0.250 0.250 0.000
In1 0.000 0.384 0.750
Ag1 0.000 0.120 0.750
O1 0.000 0.256 0.250
```



Record 2
Below is crystalline In2AgOs2 at its relaxed geometry, with properties calculated at the PBE level.

energy = -5.521 eV per atom
formation energy = 3.18 eV per formula unit
Fermi-level density of states = 7.04 states/eV per cell

Cell and atoms, written as CIF:
```
data_In2AgOs2
_chemical_formula_sum 'In4 Ag2 Os4'
_symmetry_space_group_name_H-M 'I 4/m m m'
_symmetry_Int_Tables_number 139
_symmetry_space_group_name_Hall '-I 4 2'
_cell_length_a 3.533
_cell_length_b 3.533
_cell_length_c 16.894
_cell_angle_alpha 90.00
_cell_angle_beta 90.00
_cell_angle_gamma 90.00
loop_
_atom_site_label
_atom_site_fract_x
_atom_site_fract_y
_atom_site_fract_z
In1 0.000 0.000 0.109
Ag1 0.000 0.000 0.500
Os1 0.000 0.500 0.250
```



Record 3
Below is crystalline InAgOs2 at its relaxed geometry, with properties calculated at the PBE level.

energy = -5.782 eV per atom
formation energy = 4.92 eV per formula unit
Fermi-level density of states = 16.60 states/eV per cell

Cell and atoms, written as CIF:
```
data_InAgOs2
_chemical_formula_sum 'In4 Ag4 Os8'
_symmetry_space_group_name_H-M 'I -4 2 d'
_symmetry_Int_Tables_number 122
_symmetry_space_group_name_Hall 'I -4 2bw'
_cell_length_a 7.538
_cell_length_b 7.538
_cell_length_c 5.176
_cell_angle_alpha 90.00
_cell_angle_beta 90.00
_cell_angle_gamma 90.00
loop_
_atom_site_label
_atom_site_fract_x
_atom_site_fract_y
_atom_site_fract_z
In1 0.000 0.000 0.000
Ag1 0.000 0.000 0.500
Os1 0.247 0.250 0.125
```



Record 4
Below is crystalline InAgOs2 at its relaxed geometry, with properties calculated at the PBE level.

energy = -6.452 eV per atom
formation energy = 2.24 eV per formula unit
Fermi-level density of states = 5.31 states/eV per cell

Cell and atoms, written as CIF:
```
data_InAgOs2
_chemical_formula_sum 'In2 Ag2 Os4'
_symmetry_space_group_name_H-M 'C 1 m 1'
_symmetry_Int_Tables_number 8
_symmetry_space_group_name_Hall 'C -2y'
_cell_length_a 9.081
_cell_length_b 2.900
_cell_length_c 5.120
_cell_angle_alpha 90.00
_cell_angle_beta 99.09
_cell_angle_gamma 90.00
loop_
_atom_site_label
_atom_site_fract_x
_atom_site_fract_y
_atom_site_fract_z
In1 0.000 0.000 0.000
Ag1 0.255 0.500 0.224
Os1 0.011 0.500 0.523
Os2 0.250 0.000 0.694
```



Record 5
Below is crystalline InAgOs2 at its relaxed geometry, with properties calculated at the PBE level.

energy = -6.317 eV per atom
formation energy = 2.78 eV per formula unit
Fermi-level density of states = 8.26 states/eV per cell

Cell and atoms, written as CIF:
```
data_InAgOs2
_chemical_formula_sum 'In2 Ag2 Os4'
_symmetry_space_group_name_H-M 'I -4 m 2'
_symmetry_Int_Tables_number 119
_symmetry_space_group_name_Hall 'I -4 -2'
_cell_length_a 4.204
_cell_length_b 4.204
_cell_length_c 7.434
_cell_angle_alpha 90.00
_cell_angle_beta 90.00
_cell_angle_gamma 90.00
loop_
_atom_site_label
_atom_site_fract_x
_atom_site_fract_y
_atom_site_fract_z
In1 0.000 0.000 0.000
Ag1 0.000 0.500 0.250
Os1 0.000 0.000 0.500
Os2 0.000 0.500 0.750
```



Record 6
Below is crystalline In2AgOs at its relaxed geometry, with properties calculated at the PBE level.

energy = -4.571 eV per atom
formation energy = 1.27 eV per formula unit
Fermi-level density of states = 2.18 states/eV per cell

Cell and atoms, written as CIF:
```
data_In2AgOs
_chemical_formula_sum 'In2 Ag1 Os1'
_symmetry_space_group_name_H-M 'P 4/m m m'
_symmetry_Int_Tables_number 123
_symmetry_space_group_name_Hall '-P 4 2'
_cell_length_a 3.254
_cell_length_b 3.254
_cell_length_c 7.093
_cell_angle_alpha 90.00
_cell_angle_beta 90.00
_cell_angle_gamma 90.00
loop_
_atom_site_label
_atom_site_fract_x
_atom_site_fract_y
_atom_site_fract_z
In1 0.000 0.000 0.227
Ag1 0.500 0.500 0.500
Os1 0.500 0.500 0.000
```



Record 7
Below is crystalline InAgOs2 at its relaxed geometry, with properties calculated at the PBE level.

energy = -6.176 eV per atom
formation energy = 3.34 eV per formula unit
Fermi-level density of states = 3.93 states/eV per cell

Cell and atoms, written as CIF:
```
data_InAgOs2
_chemical_formula_sum 'In1 Ag1 Os2'
_symmetry_space_group_name_H-M 'P m m m'
_symmetry_Int_Tables_number 47
_symmetry_space_group_name_Hall '-P 2 2'
_cell_length_a 2.879
_cell_length_b 4.336
_cell_length_c 5.467
_cell_angle_alpha 90.00
_cell_angle_beta 90.00
_cell_angle_gamma 90.00
loop_
_atom_site_label
_atom_site_fract_x
_atom_site_fract_y
_atom_site_fract_z
In1 0.000 0.000 0.000
Ag1 0.000 0.000 0.500
Os1 0.500 0.500 0.223
```



Record 8
Below is crystalline In2AgOs at its relaxed geometry, with properties calculated at the PBE level.

energy = -4.346 eV per atom
formation energy = 2.17 eV per formula unit
Fermi-level density of states = 4.50 states/eV per cell

Cell and atoms, written as CIF:
```
data_In2AgOs
_chemical_formula_sum 'In2 Ag1 Os1'
_symmetry_space_group_name_H-M 'P 4 m m'
_symmetry_Int_Tables_number 99
_symmetry_space_group_name_Hall 'P 4 -2'
_cell_length_a 3.028
_cell_length_b 3.028
_cell_length_c 8.649
_cell_angle_alpha 90.00
_cell_angle_beta 90.00
_cell_angle_gamma 90.00
loop_
_atom_site_label
_atom_site_fract_x
_atom_site_fract_y
_atom_site_fract_z
In1 0.000 0.000 0.000
In2 0.500 0.500 0.317
Ag1 0.500 0.500 0.746
Os1 0.000 0.000 0.527
```



- Among the records above, which one has the highest energy?
  number 8